Record 1
VASP calculation (PBE) on an optimized crystal structure of BaEu2N.

As for the uncorrected formation energy: -0.35 eV per formula unit. The calculation puts the energy above the most stable polymorph in this dataset at 0.3632 eV/atom. The electronic total energy comes out at -7.79 eV per atom.

The structure belongs to space group P4/mmm (No. 123); the cell edges are 3.365, 3.365 and 10.204 Å and the angles 90.00°, 90.00° and 90.00°. The distinct sites, in fractional coordinates, are Ba at (0.000, 0.000, 0.000), Eu at (0.500, 0.500, 0.364) and N at (0.000, 0.000, 0.500).

***

Record 2
VASP calculation (PBE) on an optimized crystal structure of BaEu2N.

As for the uncorrected formation energy: -1.80 eV per formula unit. The calculation puts the energy above the most stable polymorph in this dataset at 0.0000 eV/atom. The electronic total energy comes out at -8.15 eV per atom.

The structure belongs to space group R-3m (No. 166, hexagonal axes); the cell edges are 3.7971, 3.7971 and 30.7493 Å and the angles 90.00°, 90.00° and 120.00°. The distinct sites, in fractional coordinates, are Ba at (0.0000, 0.0000, 0.0000), Eu at (0.0000, 0.0000, 0.2103) and N at (0.0000, 0.0000, 0.5000).